Record 1
TaAg2AsO6 | GGA-PBE | optimized geometry

abc: 4.9596 5.1745 5.1745
angles: 90.00 90.00 90.00
Last column: nearest neighbours and their distance in Å.
Fractional coordinates of all 10 atoms:
Ta: 0.5773 0.5000 0.5000  5 O 1.82-1.97
Ag: 0.0744 0.5000 0.0000  8 O 2.67-2.70
Ag: 0.0744 0.0000 0.5000  8 O 2.67-2.70
As: 0.5740 0.0000 0.0000  5 O 1.72-1.82
O: 0.6772 0.2389 0.2389  1 As 1.82, 1 Ta 1.97
O: 0.6772 0.2389 0.7611  1 As 1.82, 1 Ta 1.97
O: 0.2104 0.5000 0.5000  1 Ta 1.82
O: 0.2276 0.0000 0.0000  1 As 1.72
O: 0.6772 0.7611 0.7611  1 As 1.82, 1 Ta 1.97
O: 0.6772 0.7611 0.2389  1 As 1.82, 1 Ta 1.97

Results
The calculation puts the total energy at -65.0 eV for the cell shown.

=====

Record 2
Mn2HgSb | GGA-PBE | optimized geometry

abc: 4.6034 4.6034 5.8889
angles: 77.71 77.71 42.47
Last column: nearest neighbours and their distance in Å.
Fractional coordinates of all 4 atoms:
Hg: 0.7500 0.7500 0.7500  6 Mn 2.79-2.83
Mn: 0.9975 0.9975 0.9853  3 Hg 2.79-2.83, 3 Sb 2.87-2.94
Mn: 0.5025 0.5025 0.5147  3 Hg 2.79-2.83, 3 Sb 2.87-2.94
Sb: 0.2500 0.2500 0.2500  6 Mn 2.87-2.94

Results
As for the energy relative to the lowest polymorph listed for this composition: 104 meV/atom. The density of states at the Fermi level comes out at 2.44 states/eV/cell.